BaLuTlIn after structural relaxation, computed with PBE.

Unit cell a=8.0078 b=8.0078 c=8.0078 alpha=90.00 beta=90.00 gamma=90.00
Space group F-43m (No. 216)
Unique sites:
Ba 0.0000 0.0000 0.0000 x4
Lu 0.0000 0.0000 0.5000 x4
Tl 0.2500 0.2500 0.2500 x4
In 0.2500 0.2500 0.7500 x4

Size of the total moment   0.000 μB per cell
E_form   -0.99 eV/f.u.